VASP calculation (GGA-PBE) on a geometry-optimized PmNdPuHg structure.

a b c (Å): 7.717 7.717 7.717
angles (deg): 90.00 90.00 90.00
Space group F-43m (No. 216)
Unique sites:
Pm 0.000 0.000 0.000 x4
Nd 0.250 0.250 0.750 x4
Pu 0.250 0.250 0.250 x4
Hg 0.000 0.000 0.500 x4

Results
As for the density of states at the Fermi level: 46.6 states/eV/cell. The calculation puts the magnetization at 7.3 μB per formula unit. Its total DFT energy (no corrections) is -23.837 eV per formula unit. As for the energy of formation from the pure elements: 79 meV/atom.



VASP calculation (GGA-PBE) on a geometry-optimized Nd2SmDyPt2 structure.

a b c (Å): 6.863 14.296 6.859
angles (deg): 90.00 90.00 90.00
Space group Ibam (No. 72)
Unique sites:
Nd 0.212 0.192 0.000 x8
Sm 0.000 0.500 0.250 x4
Dy 0.000 0.000 0.250 x4
Pt 0.234 0.112 0.500 x8

Results
As for the density of states at the Fermi level: 26.4 states/eV/cell. The calculation puts the magnetization at 0.0 μB per formula unit. Its total DFT energy (no corrections) is -35.718 eV per formula unit. As for the energy of formation from the pure elements: -797 meV/atom.



What did the first record say?
VASP calculation (GGA-PBE) on a geometry-optimized PmNdPuHg structure.

a b c (Å): 7.717 7.717 7.717
angles (deg): 90.00 90.00 90.00
Space group F-43m (No. 216)
Unique sites:
Pm 0.000 0.000 0.000 x4
Nd 0.250 0.250 0.750 x4
Pu 0.250 0.250 0.250 x4
Hg 0.000 0.000 0.500 x4

Results
As for the density of states at the Fermi level: 46.6 states/eV/cell. The calculation puts the magnetization at 7.3 μB per formula unit. Its total DFT energy (no corrections) is -23.837 eV per formula unit. As for the energy of formation from the pure elements: 79 meV/atom.



- energy of formation from the pure elements of number 1 (PmNdPuHg)?
  79 meV/atom



- Number 2 is which compound?
  Nd2SmDyPt2